Record 1
# TbPr2Dy12 PBE-GGA optimized geometry
data_TbPr2Dy12
_chemical_formula_sum 'Tb4 Pr8 Dy48'
_space_group_name_H-M_alt 'C m m e'
_space_group_IT_number 67
_space_group_name_Hall '-C 2a 2'
_cell_length_a 7.073
_cell_length_b 11.325
_cell_length_c 24.803
_cell_angle_alpha 90.00
_cell_angle_beta 90.00
_cell_angle_gamma 90.00
loop_
_atom_site_label
_atom_site_fract_x
_atom_site_fract_y
_atom_site_fract_z
_atom_site_occupancy
Tb1 0.000 0.250 0.000 1
Pr1 0.000 0.250 0.265 1
Pr2 0.000 0.250 0.729 1
Dy1 0.000 0.000 0.077 1
Dy2 0.000 0.014 0.561 1
Dy3 0.239 0.250 0.416 1
Dy4 0.249 0.250 0.875 1
Dy5 0.250 0.000 0.198 1
Dy6 0.250 0.000 0.328 1
# Total magnetic moment = 0.00 μB/f.u.
# Calculated formation energy = 0.16 eV/atom
# Volume = 496.7 Å³/f.u.



Record 2
# Tb7Pr3Dy PBE-GGA optimized geometry
data_Tb7Pr3Dy
_chemical_formula_sum 'Tb7 Pr3 Dy1'
_space_group_name_H-M_alt 'P 3 m 1'
_space_group_IT_number 156
_space_group_name_Hall 'P 3 -2"'
_cell_length_a 7.1194
_cell_length_b 7.1194
_cell_length_c 8.7499
_cell_angle_alpha 90.00
_cell_angle_beta 90.00
_cell_angle_gamma 120.00
loop_
_atom_site_label
_atom_site_fract_x
_atom_site_fract_y
_atom_site_fract_z
_atom_site_occupancy
Tb1 0.0000 0.0000 0.0000 1
Tb2 0.1659 0.3318 0.6780 1
Tb3 0.5008 0.0016 0.0025 1
Pr1 0.3334 0.1667 0.3405 1
Dy1 0.6667 0.3333 0.6808 1
# Total magnetic moment = 0.00 μB/f.u.
# Calculated formation energy = 0.17 eV/atom
# Distance to the lowest polymorph of the same formula = 0.34 eV per formula unit
# Volume = 384.1 Å³/f.u.



Record 3
# Tb6Pr3Dy PBE-GGA optimized geometry
data_Tb6Pr3Dy
_chemical_formula_sum 'Tb24 Pr12 Dy4'
_space_group_name_H-M_alt 'C m c 21'
_space_group_IT_number 36
_space_group_name_Hall 'C 2c -2'
_cell_length_a 10.990
_cell_length_b 19.053
_cell_length_c 6.412
_cell_angle_alpha 90.00
_cell_angle_beta 90.00
_cell_angle_gamma 90.00
loop_
_atom_site_label
_atom_site_fract_x
_atom_site_fract_y
_atom_site_fract_z
_atom_site_occupancy
Tb1 0.000 0.037 0.000 1
Tb2 0.000 0.271 0.214 1
Tb3 0.169 0.455 0.313 1
Tb4 0.237 0.290 0.493 1
Pr1 0.000 0.387 0.792 1
Pr2 0.177 0.114 0.401 1
Dy1 0.000 0.193 0.739 1
# Total magnetic moment = 0.00 μB/f.u.
# Calculated formation energy = 0.15 eV/atom
# Distance to the lowest polymorph of the same formula = 0.00 eV per formula unit
# Volume = 335.7 Å³/f.u.